The following is a PBE with a Hubbard U calculation of a relaxed Hf3NiO6F6 crystal, from the Alexandria database.

The density is 5.73 g cm⁻³. As for the crystal system: triclinic. As for the energy above the most stable polymorph in this dataset: 0.000 eV per atom.

It has space group P-1 (No. 2), with a = 5.892 Å, b = 6.965 Å, c = 7.022 Å, α = 111.22°, β = 105.50° and γ = 107.15°. Symmetry generates all atoms from Hf at (0.000, 0.000, 0.000), Hf at (0.000, 0.500, 0.500), Hf at (0.500, 0.000, 0.500), Ni at (0.000, 0.000, 0.500), O at (0.143, 0.308, 0.593), O at (0.145, 0.955, 0.283), O at (0.323, 0.074, 0.708), F at (0.100, 0.744, 0.827), F at (0.322, 0.669, 0.458) and F at (0.355, 0.237, 0.122).